Entry 1:
The following is a DFT calculation (meta-GGA SCAN) of a crystal of Sb2IrOs relaxed with PBEsol.

The space group is Imm2 (No. 44) and the conventional cell measures 2.932, 4.764 and 10.490 Å, with angles of 90.00, 90.00 and 90.00 degrees. The asymmetric unit holds Sb at (0.000, 0.000, 0.000), Sb at (0.000, 0.500, 0.196), Ir at (0.000, 0.500, 0.743) and Os at (0.000, 0.000, 0.457).

Its crystal system is orthorhombic. As for the uncorrected formation energy: 2.386 eV per formula unit. For the density of states at the Fermi level, the calculation gives 5.51 states/eV per cell. Its calculated volume is 18.31 Å³ per atom.

---

Entry 2:
The following is a DFT calculation (meta-GGA SCAN) of a crystal of BaLiMg2 relaxed with PBEsol.

The space group is I4/mmm (No. 139) and the conventional cell measures 5.182, 5.182 and 9.057 Å, with angles of 90.00, 90.00 and 90.00 degrees. The asymmetric unit holds Ba at (0.000, 0.000, 0.000), Li at (0.000, 0.000, 0.500) and Mg at (0.000, 0.500, 0.250).

Its crystal system is tetragonal. For the density of states at the Fermi level, the calculation gives 5.69 states/eV per cell. Its calculated volume is 30.40 Å³ per atom. The value obtained for the formation enthalpy at 0 K is 1.9 kcal/mol of atoms.

---

Entry 3:
The following is a DFT calculation (meta-GGA SCAN) of a crystal of Rb3MgTa relaxed with PBEsol.

The space group is Pm-3m (No. 221) and the conventional cell measures 6.863, 6.863 and 6.863 Å, with angles of 90.00, 90.00 and 90.00 degrees. The asymmetric unit holds Rb at (0.000, 0.000, 0.500), Mg at (0.500, 0.500, 0.500) and Ta at (0.000, 0.000, 0.000).

Its crystal system is cubic. For the density of states at the Fermi level, the calculation gives 4.08 states/eV per cell. Its calculated volume is 64.64 Å³ per atom. The value obtained for the formation enthalpy at 0 K is 33.3 kcal/mol of atoms.

---

Entry 4:
The following is a DFT calculation (meta-GGA SCAN) of a crystal of BaTa2Ir relaxed with PBEsol.

The space group is Immm (No. 71) and the conventional cell measures 2.947, 5.357 and 11.046 Å, with angles of 90.00, 90.00 and 90.00 degrees. The asymmetric unit holds Ba at (0.000, 0.000, 0.000), Ta at (0.000, 0.500, 0.203) and Ir at (0.000, 0.000, 0.500).

Its crystal system is orthorhombic. For the density of states at the Fermi level, the calculation gives 8.08 states/eV per cell. Its calculated volume is 21.80 Å³ per atom. The value obtained for the formation enthalpy at 0 K is 11.7 kcal/mol of atoms.

---

Entry 5:
The following is a DFT calculation (meta-GGA SCAN) of a crystal of K2Te2Br relaxed with PBEsol.

The space group is I4/mmm (No. 139) and the conventional cell measures 4.367, 4.367 and 18.379 Å, with angles of 90.00, 90.00 and 90.00 degrees. The asymmetric unit holds K at (0.000, 0.000, 0.098), Te at (0.000, 0.500, 0.250) and Br at (0.000, 0.000, 0.500).

Its crystal system is tetragonal. As for the uncorrected formation energy: -5.834 eV per formula unit. For the density of states at the Fermi level, the calculation gives 1.38 states/eV per cell. Its calculated volume is 35.05 Å³ per atom.

---

Entry 6:
The following is a DFT calculation (meta-GGA SCAN) of a crystal of Al5Hg relaxed with PBEsol.

The space group is C2/m (No. 12) and the conventional cell measures 9.536, 2.929 and 8.132 Å, with angles of 90.00, 114.14 and 90.00 degrees. The asymmetric unit holds Al at (0.000, 0.000, 0.000), Al at (0.168, 0.500, 0.322), Al at (0.168, 0.500, 0.844) and Hg at (0.000, 0.000, 0.500).

Its crystal system is monoclinic. For the density of states at the Fermi level, the calculation gives 4.70 states/eV per cell. Its calculated volume is 17.27 Å³ per atom. The value obtained for the formation enthalpy at 0 K is 1.6 kcal/mol of atoms.

---

Number 4 is which compound?
BaTa2Ir